1.
The following is a DFT calculation (GGA-PBE) of a relaxed structure of HoGaAu2.

Results
E_form   -0.57 eV per atom
Space group   P4/mmm
VASP energy   -4.1100 eV per atom

a b c (Å): 3.628 3.628 6.284
angles (deg): 90.00 90.00 90.00
Atoms (fractional coordinates):
Au: 0.000 0.000 0.756
Au: 0.000 0.000 0.244
Ho: 0.500 0.500 0.500
Ga: 0.500 0.500 0.000

2.
The following is a DFT calculation (GGA-PBE) of a relaxed structure of HoGa2Au.

Results
E_form   -0.57 eV per atom
Space group   Pnma
VASP energy   -4.0456 eV per atom

a b c (Å): 5.853 6.665 8.209
angles (deg): 90.00 90.00 90.00
Atoms (fractional coordinates):
Ho: 0.345 0.250 0.024
Ho: 0.845 0.750 0.476
Ho: 0.655 0.750 0.976
Ho: 0.155 0.250 0.524
Ga: 0.916 0.045 0.211
Ga: 0.416 0.955 0.289
Ga: 0.084 0.545 0.789
Ga: 0.584 0.455 0.711
Ga: 0.084 0.955 0.789
Ga: 0.584 0.045 0.711
Ga: 0.916 0.455 0.211
Ga: 0.416 0.545 0.289
Au: 0.661 0.250 0.438
Au: 0.161 0.750 0.062
Au: 0.339 0.750 0.562
Au: 0.839 0.250 0.938

3.
The following is a DFT calculation (GGA-PBE) of a relaxed structure of Ho4GaAu2.

Results
E_form   -0.60 eV per atom
Space group   R-3m
VASP energy   -4.5876 eV per atom

a b c (Å): 5.028 5.028 8.620
angles (deg): 73.04 73.04 60.00
Atoms (fractional coordinates):
Au: 0.751 0.751 0.748
Au: 0.249 0.249 0.252
Ho: 0.874 0.874 0.378
Ho: 0.126 0.126 0.622
Ho: 0.622 0.622 0.133
Ho: 0.378 0.378 0.867
Ga: 0.000 0.000 0.000

4.
The following is a DFT calculation (GGA-PBE) of a relaxed structure of Ho3Ga4Au.

Results
E_form   -0.43 eV per atom
Space group   Immm
VASP energy   -4.0679 eV per atom

a b c (Å): 3.580 6.171 9.006
angles (deg): 110.04 101.46 90.00
Atoms (fractional coordinates):
Ho: 0.221 0.221 0.441
Ho: 0.779 0.779 0.559
Ho: 0.000 0.500 0.000
Ga: 0.379 0.603 0.758
Ga: 0.621 0.397 0.242
Ga: 0.621 0.844 0.242
Ga: 0.379 0.156 0.758
Au: 0.500 0.000 0.000